KB2H4: relaxed, GGA-PBE.

abc: 4.8516 4.8516 4.8516
angles: 99.88 99.88 131.06
With the nearest neighbours (Å) after each atom.
Sites, in units of the cell vectors:
H (0.6318, 0.9192, 0.5510)  2 B 1.39
H (0.0808, 0.6318, 0.7126)  2 B 1.39
H (0.9192, 0.3682, 0.2874)  2 B 1.39
H (0.3682, 0.0808, 0.4490)  2 B 1.39
B (0.7500, 0.2500, 0.5000)  4 H 1.39
B (0.2500, 0.7500, 0.5000)  4 H 1.39
K (0.5000, 0.5000, 0.0000)  4 H 2.74

Results
The value obtained for the energy above the most stable polymorph in this dataset is 603 meV/atom. For the theoretical density, the calculation gives 1.37 g/cm³.



LiZnCu2: relaxed, GGA-PBE.

abc: 3.5457 3.5457 9.2046
angles: 78.90 78.90 90.00
With the nearest neighbours (Å) after each atom.
Sites, in units of the cell vectors:
Cu (0.6314, 0.1250, 0.2500)  4 Cu 2.48-2.54, 2 Zn 2.54, 2 Li 2.55
Cu (0.1186, 0.6250, 0.2500)  4 Cu 2.48-2.54, 2 Zn 2.54, 2 Li 2.55
Cu (0.3750, 0.3686, 0.7500)  4 Cu 2.48-2.54, 2 Zn 2.54, 2 Li 2.55
Cu (0.8750, 0.8814, 0.7500)  4 Cu 2.48-2.54, 2 Zn 2.54, 2 Li 2.55
Zn (0.7500, 0.2500, 0.5000)  4 Li 2.51, 4 Cu 2.54
Zn (0.0000, 0.0000, 0.0000)  4 Li 2.51, 4 Cu 2.54
Li (0.5000, 0.5000, 0.0000)  4 Zn 2.51, 4 Cu 2.55
Li (0.2500, 0.7500, 0.5000)  4 Zn 2.51, 4 Cu 2.55

Results
For the theoretical density, the calculation gives 5.95 g/cm³. Its formation enthalpy at 0 K is 0.119 eV per atom.



La3Zr: relaxed, GGA-PBE.

abc: 3.5449 6.1652 6.9031
angles: 116.52 104.88 90.00
With the nearest neighbours (Å) after each atom.
Sites, in units of the cell vectors:
La (0.9834, 0.9836, 0.9667)  3 Zr 3.46-3.73, 9 La 3.49-3.74
La (0.7500, 0.4048, 0.5000)  4 Zr 3.43-3.68, 8 La 3.49-3.74
La (0.5166, 0.5168, 0.0333)  3 Zr 3.46-3.73, 9 La 3.49-3.74
Zr (0.2500, 0.9282, 0.5000)  10 La 3.43-3.73, 2 Zr 3.54

Results
For the theoretical density, the calculation gives 6.52 g/cm³. Its formation enthalpy at 0 K is 0.165 eV per atom.